Computed, not measured: a relaxed SrCdCl crystal at the PBE level of DFT.

Lattice parameters (Å, degrees): 5.025 5.025 4.779 90.00 90.00 120.00
Positions (direct):
Cl 0.667 0.333 0.500
Cd 0.000 0.000 0.000
Sr 0.333 0.667 0.500

## Properties
calculated volume = 104.50 Å³/cell
raw formation energy = -987 meV/atom



Computed, not measured: a relaxed Sr2CdWCl crystal at the PBE level of DFT.

Lattice parameters (Å, degrees): 6.203 4.546 6.203 90.00 90.00 90.00
Positions (direct):
Sr 0.500 0.000 0.000
Cd 0.500 0.500 0.500
Cl 0.000 0.500 0.000
Sr 0.000 0.000 0.500
W 0.000 0.000 0.000

## Properties
calculated volume = 174.92 Å³/cell
raw formation energy = 488 meV/atom



Computed, not measured: a relaxed TaCdCl2 crystal at the PBE level of DFT.

Lattice parameters (Å, degrees): 5.263 5.263 3.062 90.00 90.00 109.61
Positions (direct):
Ta 0.500 0.000 0.500
Cl 0.000 0.000 0.000
Cd 0.000 0.500 0.500
Cl 0.500 0.500 0.000

## Properties
calculated volume = 79.89 Å³/cell
raw formation energy = 424 meV/atom